Hf2Zn3Ga | GGA-PBE | optimized geometry

abc: 3.1570 4.3194 7.4694
angles: 90.00 90.00 90.00
Closest atoms and distances in Å follow each position.
Fractional coordinates of all 6 atoms:
1 Hf 0.0000 0.5000 0.0015  10 Zn 2.93-2.96, 2 Ga 2.95, 2 Hf 3.16
2 Hf 0.0000 0.0000 0.4986  4 Ga 2.94, 8 Zn 2.94-2.97, 2 Hf 3.16
3 Ga 0.5000 0.5000 0.3352  3 Zn 2.50-2.51
4 Zn 0.5000 0.5000 0.6702  2 Zn 2.47, 1 Ga 2.50
5 Zn 0.5000 0.0000 0.8314  3 Zn 2.47-2.48
6 Zn 0.5000 0.0000 0.1631  1 Zn 2.48, 2 Ga 2.51

* size of the total moment: 0.00 μB/cell
* ΔE_f: -305 meV per atom
* SG: Pmm2, No. 25
* crystal system: orthorhombic
* energy above the most stable polymorph in this dataset: 9 meV per atom

HfZnGa3 | GGA-PBE | optimized geometry

abc: 4.6918 4.6918 4.6918
angles: 90.00 90.00 90.00
Closest atoms and distances in Å follow each position.
Fractional coordinates of all 5 atoms:
1 Ga 0.0000 0.0000 0.5000  2 Zn 2.35
2 Ga 0.0000 0.5000 0.0000  2 Zn 2.35
3 Ga 0.5000 0.0000 0.0000  2 Zn 2.35
4 Hf 0.5000 0.5000 0.5000  12 Ga 3.32
5 Zn 0.0000 0.0000 0.0000  6 Ga 2.35

* size of the total moment: 0.00 μB/cell
* ΔE_f: 492 meV per atom
* SG: Pm-3m, No. 221
* crystal system: cubic
* energy above the most stable polymorph in this dataset: 529 meV per atom

Hf3Zn2Ga4 | GGA-PBE | optimized geometry

abc: 4.0900 5.3861 7.9615
angles: 99.72 90.00 112.31
Closest atoms and distances in Å follow each position.
Fractional coordinates of all 9 atoms:
1 Zn 0.2747 0.5493 0.2600  5 Ga 2.52-2.65, 1 Hf 2.80
2 Zn 0.7253 0.4507 0.7400  5 Ga 2.52-2.65, 1 Hf 2.80
3 Ga 0.0826 0.1651 0.6468  2 Zn 2.52, 1 Ga 2.60
4 Ga 0.3054 0.6108 0.9359  3 Zn 2.61-2.65, 3 Ga 2.62-2.89, 3 Hf 2.80-2.82
5 Ga 0.9174 0.8349 0.3532  2 Zn 2.52, 1 Ga 2.60
6 Ga 0.6946 0.3892 0.0641  3 Zn 2.61-2.65, 3 Ga 2.62-2.89, 3 Hf 2.80-2.82
7 Hf 0.3805 0.7610 0.6106  3 Zn 2.80-2.87, 6 Ga 2.82-3.04
8 Hf 0.6195 0.2390 0.3894  3 Zn 2.80-2.87, 6 Ga 2.82-3.04
9 Hf 0.0000 0.0000 0.0000  6 Ga 2.80-3.07, 2 Zn 3.12

* size of the total moment: 0.00 μB/cell
* ΔE_f: -284 meV per atom
* SG: C2/m, No. 12
* crystal system: monoclinic
* energy above the most stable polymorph in this dataset: 90 meV per atom

Hf3Zn2Ga | GGA-PBE | optimized geometry

abc: 3.8143 4.3660 13.1100
angles: 90.00 90.00 90.00
Closest atoms and distances in Å follow each position.
Fractional coordinates of all 12 atoms:
1 Ga 0.0001 0.5000 0.5000  8 Hf 2.89-2.90, 4 Zn 3.12
2 Ga 0.9999 0.0000 0.0000  8 Hf 2.89-2.90, 4 Zn 3.12
3 Hf 0.5001 0.5000 0.6657  6 Zn 2.87-2.90, 2 Ga 2.89, 4 Hf 3.08-3.11
4 Hf 0.5001 0.0000 0.5000  4 Ga 2.90, 4 Zn 2.94, 4 Hf 3.08
5 Hf 0.4999 0.0000 0.8343  6 Zn 2.87-2.90, 2 Ga 2.89, 4 Hf 3.08-3.11
6 Hf 0.4999 0.0000 0.1657  6 Zn 2.87-2.90, 2 Ga 2.89, 4 Hf 3.08-3.11
7 Hf 0.4999 0.5000 0.0000  4 Ga 2.90, 4 Zn 2.94, 4 Hf 3.08
8 Hf 0.5001 0.5000 0.3343  6 Zn 2.87-2.90, 2 Ga 2.89, 4 Hf 3.08-3.11
9 Zn 0.0000 0.5000 0.1702  8 Hf 2.87-2.94, 2 Zn 3.02, 2 Ga 3.12
10 Zn 0.0000 0.0000 0.3298  8 Hf 2.87-2.94, 2 Zn 3.02, 2 Ga 3.12
11 Zn 0.0000 0.5000 0.8298  8 Hf 2.87-2.94, 2 Zn 3.02, 2 Ga 3.12
12 Zn 0.0000 0.0000 0.6702  8 Hf 2.87-2.94, 2 Zn 3.02, 2 Ga 3.12

* size of the total moment: 0.00 μB/cell
* ΔE_f: -254 meV per atom
* SG: Cmmm, No. 65
* crystal system: orthorhombic

Hf2ZnGa2 | GGA-PBE | optimized geometry

abc: 4.0035 5.4645 8.9807
angles: 80.78 77.12 68.51
Closest atoms and distances in Å follow each position.
Fractional coordinates of all 10 atoms:
1 Ga 0.9640 0.1800 0.8919  1 Zn 2.49, 1 Ga 2.52, 2 Hf 2.78
2 Ga 0.0360 0.8200 0.1081  1 Zn 2.49, 1 Ga 2.52, 2 Hf 2.78
3 Ga 0.1394 0.2842 0.4370  3 Zn 2.45-2.64, 1 Ga 2.54
4 Ga 0.8606 0.7158 0.5630  3 Zn 2.45-2.64, 1 Ga 2.54
5 Hf 0.4913 0.3353 0.6821  6 Ga 2.78-2.96, 3 Zn 2.92-2.95
6 Hf 0.6873 0.7286 0.8969  6 Ga 2.79-3.04, 2 Zn 2.93
7 Hf 0.3127 0.2714 0.1031  6 Ga 2.79-3.04, 2 Zn 2.93
8 Hf 0.5087 0.6647 0.3179  6 Ga 2.78-2.96, 3 Zn 2.92-2.95
9 Zn 0.2106 0.9122 0.6667  4 Ga 2.45-2.64
10 Zn 0.7894 0.0878 0.3333  4 Ga 2.45-2.64

* size of the total moment: 0.00 μB/cell
* ΔE_f: -416 meV per atom
* SG: C2/m, No. 12
* crystal system: monoclinic
* energy above the most stable polymorph in this dataset: 0 meV per atom

HfZn2Ga | GGA-PBE | optimized geometry

abc: 7.2769 7.2769 5.8353
angles: 51.43 51.43 90.00
Closest atoms and distances in Å follow each position.
Fractional coordinates of all 8 atoms:
1 Zn 0.5952 0.1250 0.2500  2 Ga 2.52, 2 Zn 2.79, 2 Hf 2.82
2 Zn 0.1548 0.6250 0.2500  2 Ga 2.52, 2 Zn 2.79, 2 Hf 2.82
3 Zn 0.3750 0.4048 0.7500  2 Ga 2.52, 2 Zn 2.79, 2 Hf 2.82
4 Zn 0.8750 0.8452 0.7500  2 Ga 2.52, 2 Zn 2.79, 2 Hf 2.82
5 Hf 0.7500 0.2500 0.5000  2 Ga 2.75, 4 Zn 2.82
6 Hf 0.0000 0.0000 0.0000  2 Ga 2.75, 4 Zn 2.82
7 Ga 0.5000 0.5000 0.0000  4 Zn 2.52, 2 Hf 2.75
8 Ga 0.2500 0.7500 0.5000  4 Zn 2.52, 2 Hf 2.75

* size of the total moment: 0.00 μB/cell
* ΔE_f: 40 meV per atom
* SG: I-42d, No. 122
* crystal system: tetragonal

Hf2ZnGa4 | GGA-PBE | optimized geometry

abc: 5.6209 5.5103 8.5232
angles: 90.00 111.16 90.00
Closest atoms and distances in Å follow each position.
Fractional coordinates of all 14 atoms:
1 Hf 0.3023 0.2500 0.0126  8 Ga 2.77-3.09, 1 Zn 2.93
2 Hf 0.3421 0.2500 0.4155  9 Ga 2.82-3.15
3 Hf 0.6977 0.7500 0.9874  8 Ga 2.77-3.09, 1 Zn 2.93
4 Hf 0.6579 0.7500 0.5845  9 Ga 2.82-3.15
5 Ga 0.1118 0.7500 0.8847  1 Zn 2.54, 2 Ga 2.63, 1 Hf 2.77
6 Ga 0.6561 0.9938 0.2780  1 Zn 2.58, 5 Ga 2.63-2.82, 2 Hf 2.80-2.82
7 Ga 0.3439 0.0062 0.7220  1 Zn 2.58, 5 Ga 2.63-2.82, 2 Hf 2.80-2.82
8 Ga 0.8882 0.2500 0.1153  1 Zn 2.54, 2 Ga 2.63, 1 Hf 2.77
9 Ga 0.3439 0.4938 0.7220  1 Zn 2.58, 5 Ga 2.63-2.82, 2 Hf 2.80-2.82
10 Ga 0.6561 0.5062 0.2780  1 Zn 2.58, 5 Ga 2.63-2.82, 2 Hf 2.80-2.82
11 Ga 0.0958 0.7500 0.4514  1 Zn 2.53, 4 Ga 2.63-2.73
12 Ga 0.9042 0.2500 0.5486  1 Zn 2.53, 4 Ga 2.63-2.73
13 Zn 0.7613 0.2500 0.7975  4 Ga 2.53-2.58
14 Zn 0.2387 0.7500 0.2025  4 Ga 2.53-2.58

* size of the total moment: 0.00 μB/cell
* ΔE_f: -245 meV per atom
* SG: P2_1/m, No. 11
* crystal system: monoclinic
* energy above the most stable polymorph in this dataset: 0 meV per atom

HfZnGa3 | GGA-PBE | optimized geometry

abc: 5.2741 5.2741 5.2741
angles: 90.00 90.00 90.00
Closest atoms and distances in Å follow each position.
Fractional coordinates of all 5 atoms:
1 Ga 0.0000 0.5000 0.0000  2 Hf 2.64
2 Ga 0.5000 0.0000 0.0000  2 Hf 2.64
3 Ga 0.0000 0.0000 0.5000  2 Hf 2.64
4 Zn 0.5000 0.5000 0.5000  12 Ga 3.73
5 Hf 0.0000 0.0000 0.0000  6 Ga 2.64

* size of the total moment: 0.00 μB/cell
* ΔE_f: 721 meV per atom
* SG: Pm-3m, No. 221
* crystal system: cubic
* energy above the most stable polymorph in this dataset: 758 meV per atom

Hf3ZnGa5 | GGA-PBE | optimized geometry

abc: 8.0004 8.0004 7.7765
angles: 120.96 120.96 90.00
Closest atoms and distances in Å follow each position.
Fractional coordinates of all 18 atoms:
1 Hf 0.2500 0.2500 0.5000  2 Ga 2.67
2 Hf 0.7500 0.7500 0.5000  2 Ga 2.67
3 Hf 0.6227 0.1227 0.0000  6 Ga 2.67-2.96, 1 Hf 2.78
4 Hf 0.1227 0.3773 0.0000  6 Ga 2.67-2.96, 1 Hf 2.78
5 Hf 0.3773 0.8773 0.0000  6 Ga 2.67-2.96, 1 Hf 2.78
6 Hf 0.8773 0.6227 0.0000  6 Ga 2.67-2.96, 1 Hf 2.78
7 Ga 0.3321 0.8321 0.2922  1 Zn 2.38, 1 Ga 2.65
8 Ga 0.4602 0.3321 0.2922  1 Zn 2.38, 1 Ga 2.65
9 Ga 0.5398 0.6679 0.7078  1 Zn 2.38, 1 Ga 2.65
10 Ga 0.8321 0.9602 0.2922  1 Zn 2.38, 1 Ga 2.65
11 Ga 0.1679 0.0398 0.7078  1 Zn 2.38, 1 Ga 2.65
12 Ga 0.9602 0.4602 0.2922  1 Zn 2.38, 1 Ga 2.65
13 Ga 0.6679 0.1679 0.7078  1 Zn 2.38, 1 Ga 2.65
14 Ga 0.0398 0.5398 0.7078  1 Zn 2.38, 1 Ga 2.65
15 Ga 0.5000 0.5000 0.0000  2 Hf 2.67
16 Ga 0.0000 0.0000 0.0000  2 Hf 2.67
17 Zn 0.7500 0.2500 0.5000  4 Ga 2.38
18 Zn 0.2500 0.7500 0.5000  4 Ga 2.38

* size of the total moment: 0.00 μB/cell
* ΔE_f: -33 meV per atom
* SG: I4/mcm, No. 140
* crystal system: tetragonal

Hf2Zn3Ga | GGA-PBE | optimized geometry

abc: 5.3477 5.3477 8.1012
angles: 103.32 103.32 107.57
Closest atoms and distances in Å follow each position.
Fractional coordinates of all 12 atoms:
1 Ga 0.3336 0.3336 0.6673  3 Zn 2.50-2.51
2 Ga 0.6664 0.6664 0.3327  3 Zn 2.50-2.51
3 Zn 0.8343 0.8343 0.6686  2 Zn 2.48, 1 Ga 2.51
4 Zn 0.8339 0.3314 0.1654  2 Zn 2.47-2.48, 1 Ga 2.50
5 Zn 0.1661 0.6686 0.8346  2 Zn 2.47-2.48, 1 Ga 2.50
6 Zn 0.6686 0.1661 0.8346  2 Zn 2.47-2.48, 1 Ga 2.50
7 Zn 0.3314 0.8339 0.1654  2 Zn 2.47-2.48, 1 Ga 2.50
8 Zn 0.1657 0.1657 0.3314  2 Zn 2.48, 1 Ga 2.51
9 Hf 0.2487 0.2487 0.0000  10 Zn 2.93-2.96, 2 Ga 2.95, 2 Hf 3.14-3.18
10 Hf 0.7500 0.2500 0.5000  4 Ga 2.95, 8 Zn 2.95, 2 Hf 3.16
11 Hf 0.7513 0.7513 0.0000  10 Zn 2.93-2.96, 2 Ga 2.95, 2 Hf 3.14-3.18
12 Hf 0.2500 0.7500 0.5000  4 Ga 2.95, 8 Zn 2.95, 2 Hf 3.16

* size of the total moment: 0.00 μB/cell
* ΔE_f: -314 meV per atom
* SG: Fmmm, No. 69
* crystal system: orthorhombic
* energy above the most stable polymorph in this dataset: 0 meV per atom